VASP calculation (PBE-GGA) on a relaxed structure of TiAl3Pb.

Calculated values
- total magnetization (μB per atom) = 0.2416
- relative energy among the computed polymorphs (meV per atom) = 0
- energy relative to the elements (eV/atom) = 0.61
- mass density (g/cm³) = 4.36

Cell lengths 5.0400, 5.0400, 5.0400 Å; angles 90.00, 90.00, 90.00 degrees
Last column: nearest neighbours and their distance in Å.
Atoms (fractional coordinates):
Ti  0.0000  0.0000  0.0000  6 Al 2.52
Al  0.0000  0.0000  0.5000  2 Ti 2.52
Al  0.0000  0.5000  0.0000  2 Ti 2.52
Al  0.5000  0.0000  0.0000  2 Ti 2.52
Pb  0.5000  0.5000  0.5000  12 Al 3.56


VASP calculation (PBE-GGA) on a relaxed structure of Ti3AlPb.

Calculated values
- total magnetization (μB per atom) = 0.0000
- relative energy among the computed polymorphs (meV per atom) = 417
- energy relative to the elements (eV/atom) = 0.49
- mass density (g/cm³) = 5.90

Cell lengths 4.7371, 4.7371, 4.7371 Å; angles 90.00, 90.00, 90.00 degrees
Last column: nearest neighbours and their distance in Å.
Atoms (fractional coordinates):
Ti  0.0000  0.0000  0.5000  2 Al 2.37
Ti  0.0000  0.5000  0.0000  2 Al 2.37
Ti  0.5000  0.0000  0.0000  2 Al 2.37
Al  0.0000  0.0000  0.0000  6 Ti 2.37
Pb  0.5000  0.5000  0.5000  12 Ti 3.35


VASP calculation (PBE-GGA) on a relaxed structure of Ti7AlPb3.

Calculated values
- total magnetization (μB per atom) = 0.2843
- energy relative to the elements (eV/atom) = 0.21
- mass density (g/cm³) = 7.29

Cell lengths 7.1459, 7.1459, 7.1459 Å; angles 138.26, 105.45, 89.28 degrees
Last column: nearest neighbours and their distance in Å.
Atoms (fractional coordinates):
Ti  0.0000  0.0000  0.0000  2 Al 2.55, 2 Pb 2.75
Ti  0.0838  0.7499  0.3339  4 Ti 2.80-2.93, 4 Pb 2.90-2.93, 1 Al 2.92
Ti  0.3032  0.5000  0.8032  1 Al 2.62, 2 Ti 2.80, 2 Pb 2.89
Ti  0.4159  0.7499  0.6661  4 Ti 2.80-2.93, 4 Pb 2.90-2.93, 1 Al 2.92
Ti  0.5841  0.2501  0.3339  4 Ti 2.80-2.93, 4 Pb 2.90-2.93, 1 Al 2.92
Ti  0.6968  0.5000  0.1968  1 Al 2.62, 2 Ti 2.80, 2 Pb 2.89
Ti  0.9162  0.2501  0.6661  4 Ti 2.80-2.93, 4 Pb 2.90-2.93, 1 Al 2.92
Al  0.0000  0.5000  0.5000  4 Ti 2.55-2.62
Pb  0.2700  0.2700  0.0000  9 Ti 2.75-2.93
Pb  0.5000  0.0000  0.5000  8 Ti 2.92-3.06
Pb  0.7300  0.7300  0.0000  9 Ti 2.75-2.93


VASP calculation (PBE-GGA) on a relaxed structure of TiAlPb3.

Calculated values
- total magnetization (μB per atom) = 0.0000
- relative energy among the computed polymorphs (meV per atom) = 455
- energy relative to the elements (eV/atom) = 0.89
- mass density (g/cm³) = 7.55

Cell lengths 5.3499, 5.3499, 5.3499 Å; angles 90.00, 90.00, 90.00 degrees
Last column: nearest neighbours and their distance in Å.
Atoms (fractional coordinates):
Ti  0.0000  0.0000  0.0000  12 Pb 3.78
Al  0.5000  0.5000  0.5000  6 Pb 2.67
Pb  0.0000  0.5000  0.5000  2 Al 2.67
Pb  0.5000  0.0000  0.5000  2 Al 2.67
Pb  0.5000  0.5000  0.0000  2 Al 2.67


VASP calculation (PBE-GGA) on a relaxed structure of TiAl2Pb.

Calculated values
- total magnetization (μB per atom) = 0.0000
- energy relative to the elements (eV/atom) = 0.36
- mass density (g/cm³) = 5.96

Cell lengths 6.2031, 6.2031, 6.2031 Å; angles 101.94, 101.94, 125.88 degrees
Last column: nearest neighbours and their distance in Å.
Atoms (fractional coordinates):
Ti  0.0000  0.0000  0.0000  4 Al 2.78, 2 Pb 2.82
Ti  0.7500  0.2500  0.5000  4 Al 2.78, 2 Pb 2.82
Al  0.1109  0.6250  0.9859  2 Ti 2.78, 2 Al 2.83, 2 Pb 2.93
Al  0.3750  0.3609  0.4859  2 Ti 2.78, 2 Al 2.83, 2 Pb 2.93
Al  0.6391  0.1250  0.0141  2 Ti 2.78, 2 Al 2.83, 2 Pb 2.93
Al  0.8750  0.8891  0.5141  2 Ti 2.78, 2 Al 2.83, 2 Pb 2.93
Pb  0.2500  0.7500  0.5000  2 Ti 2.82, 4 Al 2.93
Pb  0.5000  0.5000  0.0000  2 Ti 2.82, 4 Al 2.93


VASP calculation (PBE-GGA) on a relaxed structure of Ti2Al2Pb.

Calculated values
- total magnetization (μB per atom) = 0.3364
- relative energy among the computed polymorphs (meV per atom) = 4
- energy relative to the elements (eV/atom) = 0.02
- mass density (g/cm³) = 6.23

Cell lengths 7.7121, 7.7121, 3.1970 Å; angles 90.00, 90.00, 90.00 degrees
Last column: nearest neighbours and their distance in Å.
Atoms (fractional coordinates):
Ti  0.1779  0.3221  0.0000  6 Al 2.74-2.82
Ti  0.3221  0.8221  0.0000  6 Al 2.74-2.82
Ti  0.6779  0.1779  0.0000  6 Al 2.74-2.82
Ti  0.8221  0.6779  0.0000  6 Al 2.74-2.82
Al  0.1176  0.6176  0.5000  1 Al 2.57, 6 Ti 2.74-2.82
Al  0.3824  0.1176  0.5000  1 Al 2.57, 6 Ti 2.74-2.82
Al  0.6176  0.8824  0.5000  1 Al 2.57, 6 Ti 2.74-2.82
Al  0.8824  0.3824  0.5000  1 Al 2.57, 6 Ti 2.74-2.82
Pb  0.0000  0.0000  0.5000  4 Al 3.09, 2 Pb 3.20, 8 Ti 3.26
Pb  0.5000  0.5000  0.5000  4 Al 3.09, 2 Pb 3.20, 8 Ti 3.26


VASP calculation (PBE-GGA) on a relaxed structure of ZrTi2AlPb.

Calculated values
- total magnetization (μB per atom) = 0.0000
- energy relative to the elements (eV/atom) = 1.09
- mass density (g/cm³) = 5.26

Cell lengths 4.9025, 4.9025, 5.5322 Å; angles 90.00, 90.00, 90.00 degrees
Last column: nearest neighbours and their distance in Å.
Atoms (fractional coordinates):
Zr  0.0000  0.0000  0.0000  4 Ti 2.45
Ti  0.0000  0.5000  0.0000  2 Zr 2.45
Ti  0.5000  0.0000  0.0000  2 Zr 2.45
Al  0.5000  0.5000  0.5000  4 Pb 3.47, 8 Ti 3.70
Pb  0.0000  0.0000  0.5000  2 Zr 2.77


VASP calculation (PBE-GGA) on a relaxed structure of AlTlPb.

Calculated values
- total magnetization (μB per atom) = 0.0000
- relative energy among the computed polymorphs (meV per atom) = 66
- energy relative to the elements (eV/atom) = 0.17
- mass density (g/cm³) = 8.35

Cell lengths 4.9778, 4.9778, 4.9778 Å; angles 60.00, 60.00, 60.00 degrees
Last column: nearest neighbours and their distance in Å.
Atoms (fractional coordinates):
Al  0.0000  0.0000  0.0000  4 Tl 3.05, 4 Pb 3.05
Tl  0.7500  0.7500  0.7500  4 Al 3.05
Pb  0.2500  0.2500  0.2500  4 Al 3.05


VASP calculation (PBE-GGA) on a relaxed structure of AlTlPb.

Calculated values
- total magnetization (μB per atom) = 0.0000
- relative energy among the computed polymorphs (meV per atom) = 108
- energy relative to the elements (eV/atom) = 0.22
- mass density (g/cm³) = 8.83

Cell lengths 8.4817, 8.2424, 3.3207 Å; angles 82.63, 74.53, 22.85 degrees
Last column: nearest neighbours and their distance in Å.
Atoms (fractional coordinates):
Al  0.0000  0.0000  0.0000  2 Pb 3.06, 2 Tl 3.14, 4 Al 3.32
Tl  0.6566  0.6566  0.3434  2 Al 3.14, 4 Tl 3.32
Pb  0.3489  0.3489  0.6511  2 Al 3.06, 4 Pb 3.32


VASP calculation (PBE-GGA) on a relaxed structure of Al2TlPb.

Calculated values
- total magnetization (μB per atom) = 0.0000
- relative energy among the computed polymorphs (meV per atom) = 171
- energy relative to the elements (eV/atom) = 0.32
- mass density (g/cm³) = 7.73

Cell lengths 6.1480, 6.1480, 6.1480 Å; angles 146.67, 127.59, 63.54 degrees
Last column: nearest neighbours and their distance in Å.
Atoms (fractional coordinates):
Al  0.2472  0.2472  0.0000  2 Tl 3.13, 2 Pb 3.18, 4 Al 3.24
Al  0.7528  0.7528  0.0000  2 Tl 3.13, 2 Pb 3.18, 4 Al 3.24
Tl  0.0000  0.5000  0.5000  4 Al 3.13, 4 Pb 3.24
Pb  0.5000  0.0000  0.5000  4 Al 3.18, 4 Tl 3.24, 2 Pb 3.53


VASP calculation (PBE-GGA) on a relaxed structure of Al2TlPb.

Calculated values
- total magnetization (μB per atom) = 0.0000
- relative energy among the computed polymorphs (meV per atom) = 134
- energy relative to the elements (eV/atom) = 0.29
- mass density (g/cm³) = 7.78

Cell lengths 5.3732, 5.3732, 3.4399 Å; angles 90.00, 90.00, 90.00 degrees
Last column: nearest neighbours and their distance in Å.
Atoms (fractional coordinates):
Al  0.0000  0.5000  0.0000  4 Tl 3.19, 4 Pb 3.19, 2 Al 3.44
Al  0.5000  0.0000  0.0000  4 Tl 3.19, 4 Pb 3.19, 2 Al 3.44
Tl  0.0000  0.0000  0.5000  8 Al 3.19, 2 Tl 3.44
Pb  0.5000  0.5000  0.5000  8 Al 3.19, 2 Pb 3.44


VASP calculation (PBE-GGA) on a relaxed structure of Al2TlPb.

Calculated values
- total magnetization (μB per atom) = 0.0000
- relative energy among the computed polymorphs (meV per atom) = 69
- energy relative to the elements (eV/atom) = 0.22
- mass density (g/cm³) = 7.84

Cell lengths 5.9514, 5.9514, 5.6581 Å; angles 110.54, 110.54, 31.90 degrees
Last column: nearest neighbours and their distance in Å.
Atoms (fractional coordinates):
Al  0.0000  0.0000  0.0000  2 Al 2.79
Al  0.6941  0.6941  0.3037  2 Al 2.79
Tl  0.4508  0.4508  0.4770  7 Al 3.19-3.37, 2 Tl 3.27
Pb  0.2436  0.2436  0.8263  7 Al 3.19-3.38, 2 Pb 3.27